Below is an optimized crystal structure of KSnH2Au, with properties calculated at the PBE level.

The structure in POSCAR format:
```
KSnH2Au
1.0
-0.384 -0.967 -4.184
-4.403 -3.835 1.291
-2.892 3.164 -0.466
K H Au Sn
1 2 1 1
Cartesian
0.000 0.000 0.000 K
-0.192 -0.484 -2.092 H
-1.446 1.582 -0.233 H
-2.201 -1.917 0.645 Au
-3.840 -0.819 -1.680 Sn
```

Computed properties:
ΔE to the lowest computed polymorph: 689 meV per atom
ρ: 5.33 Mg/m³
magnetization: 0.0 μB/cell


Below is an optimized crystal structure of KSnH2Au, with properties calculated at the PBE level.

The structure in POSCAR format:
```
KSnH2Au
1.0
-1.188 3.144 2.835
-2.182 -3.760 3.256
3.847 -0.427 2.086
Sn H K Au
1 2 1 1
Cartesian
0.000 0.000 0.000 Sn
1.924 -0.213 1.043 H
-0.594 1.572 1.417 H
0.239 -0.521 4.088 K
-1.091 -1.880 1.628 Au
```

Computed properties:
ΔE to the lowest computed polymorph: 0 meV per atom
ρ: 5.64 Mg/m³
magnetization: 0.0 μB/cell